# Fe3PI

A relaxed Fe3PI crystal (PBE, Alexandria).

Unit cell a=4.415 b=4.415 c=4.415 alpha=90.00 beta=90.00 gamma=90.00
Atoms (fractional coordinates):
I 0.500 0.500 0.500
P 0.000 0.000 0.000
Fe 0.000 0.500 0.000
Fe 0.000 0.000 0.500
Fe 0.500 0.000 0.000

Results
Its energy above the most stable polymorph in this dataset is 0.000 eV per formula unit. The uncorrected formation energy is 12.54 kcal/mol of atoms. Its crystal system is cubic. As for the space-group type: Pm-3m (221). The value obtained for the magnetization is 7.6 Bohr magnetons per cell.



# Mn3BeIn

A relaxed Mn3BeIn crystal (PBE, Alexandria).

Unit cell a=4.167 b=4.167 c=4.167 alpha=90.00 beta=90.00 gamma=90.00
Atoms (fractional coordinates):
Be 0.000 0.000 0.000
Mn 0.000 0.500 0.000
Mn 0.000 0.000 0.500
Mn 0.500 0.000 0.000
In 0.500 0.500 0.500

Results
Its energy above the most stable polymorph in this dataset is 0.000 eV per formula unit. Its crystal system is cubic. The formation energy comes out at 0.36 eV per atom. As for the space-group type: Pm-3m (221). The value obtained for the magnetization is 8.3 Bohr magnetons per cell.



# Hg2Pt

A relaxed Hg2Pt crystal (PBE, Alexandria).

Unit cell a=4.842 b=4.842 c=2.967 alpha=90.00 beta=90.00 gamma=90.00
Atoms (fractional coordinates):
Hg 0.000 0.500 0.500
Hg 0.500 0.000 0.500
Pt 0.000 0.000 0.000

Results
Its energy above the most stable polymorph in this dataset is 0.000 eV per formula unit. Its crystal system is tetragonal. The formation energy comes out at -0.07 eV per atom. As for the space-group type: P4/mmm (123). The value obtained for the magnetization is 0.0 Bohr magnetons per cell.



# NaAlPb

A relaxed NaAlPb crystal (PBE, Alexandria).

Unit cell a=3.389 b=8.297 c=6.244 alpha=108.29 beta=70.36 gamma=89.43
Atoms (fractional coordinates):
Pb 0.318 0.211 0.395
Pb 0.187 0.682 0.588
Na 0.946 0.821 0.175
Na 0.562 0.071 0.807
Al 0.910 0.431 0.174
Al 0.599 0.461 0.809

Results
Its crystal system is triclinic. The formation energy comes out at 0.03 eV per atom. As for the space-group type: P1 (1). The value obtained for the magnetization is 0.0 Bohr magnetons per cell.



# K2SmUO6

A relaxed K2SmUO6 crystal (PBE, Alexandria).

Unit cell a=6.211 b=6.212 c=6.210 alpha=60.00 beta=60.01 gamma=90.00
Atoms (fractional coordinates):
K 0.250 0.750 0.500
K 0.750 0.250 0.500
Sm 0.000 0.000 0.000
U 0.500 0.500 0.000
O 0.264 0.736 0.000
O 0.736 0.736 0.000
O 0.264 0.264 0.472
O 0.736 0.264 0.000
O 0.264 0.264 0.000
O 0.736 0.736 0.528

Results
The uncorrected formation energy is -61.11 kcal/mol of atoms. Its crystal system is cubic. As for the space-group type: Fm-3m (225). The value obtained for the magnetization is 0.9 Bohr magnetons per cell.



# Tl4VSe4

A relaxed Tl4VSe4 crystal (PBE, Alexandria).

Unit cell a=7.752 b=7.752 c=7.774 alpha=119.91 beta=119.91 gamma=90.00
Atoms (fractional coordinates):
Tl 0.000 0.500 0.000
Tl 0.500 0.000 0.000
Tl 0.331 0.331 0.662
Tl 0.669 0.669 0.338
V 0.000 0.000 0.000
Se 0.053 0.701 0.754
Se 0.299 0.299 0.246
Se 0.701 0.053 0.754
Se 0.947 0.947 0.246

Results
The uncorrected formation energy is -10.70 kcal/mol of atoms. Its crystal system is tetragonal. As for the space-group type: I-42m (121). The value obtained for the magnetization is 1.0 Bohr magnetons per cell.



# Ho3Al2Zn9

A relaxed Ho3Al2Zn9 crystal (PBE, Alexandria).

Unit cell a=4.306 b=8.120 c=8.120 alpha=69.72 beta=74.62 gamma=74.62
Atoms (fractional coordinates):
Ho 0.000 0.000 0.000
Ho 0.704 0.296 0.296
Ho 0.296 0.704 0.704
Al 0.500 0.308 0.692
Al 0.500 0.692 0.308
Zn 0.000 0.500 0.500
Zn 0.659 0.976 0.706
Zn 0.341 0.024 0.294
Zn 0.659 0.706 0.976
Zn 0.341 0.294 0.024
Zn 0.860 0.861 0.419
Zn 0.140 0.139 0.581
Zn 0.860 0.419 0.861
Zn 0.140 0.581 0.139

Results
Its crystal system is orthorhombic. The formation energy comes out at -0.35 eV per atom. As for the space-group type: Immm (71). The value obtained for the magnetization is 0.0 Bohr magnetons per cell.



# BeFe2Re

A relaxed BeFe2Re crystal (PBE, Alexandria).

Unit cell a=3.966 b=2.522 c=4.766 alpha=80.04 beta=90.00 gamma=90.00
Atoms (fractional coordinates):
Re 0.000 0.484 0.505
Fe 0.000 0.992 0.992
Fe 0.500 0.208 0.241
Be 0.500 0.816 0.762

Results
Its crystal system is monoclinic. The formation energy comes out at 0.07 eV per atom. As for the space-group type: Pm (6). The value obtained for the magnetization is 3.9 Bohr magnetons per cell.